PBE BaAlSe2, relaxed; E_form (uncorrected) = -1.0273 eV/atom; M_tot = 0.00 μB per formula unit; SG = P2/m (10); D(E_F) = 1.65 states/eV/f.u.
1.0
3.7561 0.0000 0.0000
0.0000 4.2476 0.0008
0.0000 -0.0275 7.2084
Al Ba Se
1 1 2
Cartesian
1.8780 1.0550 1.8023 Al
1.8780 3.1651 5.4069 Ba
0.0000 1.0416 3.5570 Se
0.0000 1.0684 0.0476 Se